1.
# ZrTlOs GGA-PBE optimized geometry
# DOS(E_F)   1.780 states/eV/f.u.
# Uncorrected energy   -7.23 eV/atom
# Spin magnetization   0.00 Bohr magnetons per cell
# Energy of formation from the pure elements   0.147 eV per atom
# Volume   19.71 A^3/atom
data_ZrTlOs
_chemical_formula_sum 'Zr2 Tl2 Os2'
_space_group_name_H-M_alt 'I m m 2'
_space_group_IT_number 44
_cell_length_a 3.284
_cell_length_b 3.818
_cell_length_c 9.431
_cell_angle_alpha 90.00
_cell_angle_beta 90.00
_cell_angle_gamma 90.00
loop_
_space_group_symop_operation_xyz
'x,y,z'
'-x,-y,z'
'-x,y,z'
'x,-y,z'
'x+1/2,y+1/2,z+1/2'
'-x+1/2,-y+1/2,z+1/2'
'-x+1/2,y+1/2,z+1/2'
'x+1/2,-y+1/2,z+1/2'
loop_
_atom_site_label
_atom_site_type_symbol
_atom_site_fract_x
_atom_site_fract_y
_atom_site_fract_z
Zr1 Zr 0.000 0.000 0.000
Tl1 Tl 0.000 0.000 0.311
Os1 Os 0.000 0.000 0.636

***

2.
# ZrTlOs GGA-PBE optimized geometry
# DOS(E_F)   1.749 states/eV/f.u.
# Uncorrected energy   -7.26 eV/atom
# Spin magnetization   0.00 Bohr magnetons per cell
# Energy of formation from the pure elements   0.124 eV per atom
# Volume   20.27 A^3/atom
data_ZrTlOs
_chemical_formula_sum 'Zr2 Tl2 Os2'
_space_group_name_H-M_alt 'I 4 m m'
_space_group_IT_number 107
_space_group_name_Hall 'I 4 -2'
_cell_length_a 3.236
_cell_length_b 3.236
_cell_length_c 11.618
_cell_angle_alpha 90.00
_cell_angle_beta 90.00
_cell_angle_gamma 90.00
loop_
_atom_site_label
_atom_site_type_symbol
_atom_site_fract_x
_atom_site_fract_y
_atom_site_fract_z
Zr1 Zr 0.000 0.000 0.000
Tl1 Tl 0.000 0.000 0.703
Os1 Os 0.000 0.000 0.369